Na2AlFeSi4O12: relaxed, PBE+U.

Output
D(E_F): 0.000 states/eV per atom
raw total energy: -7.215 eV per atom

Lattice parameters (Å, degrees): 6.5304 6.5304 5.3355 76.90 76.90 84.44
Closest atoms and distances in Å follow each position.
Sites, in units of the cell vectors:
O  0.3493  0.3611  0.2382  2 Si 1.65-1.67
O  0.3545  0.3420  0.7426  2 Si 1.65-1.66
O  0.8106  0.9703  0.8682  1 Si 1.65
O  0.6231  0.1046  0.4537  1 Si 1.61
O  0.6389  0.6507  0.7618  2 Si 1.65-1.67
O  0.0297  0.1894  0.1318  1 Si 1.65
O  0.1874  0.0382  0.6053  1 Si 1.65
O  0.9618  0.8126  0.3947  1 Si 1.65
O  0.8954  0.3769  0.5463  1 Si 1.61
O  0.6580  0.6455  0.2574  2 Si 1.65-1.66
O  0.0985  0.6144  0.9548  1 Si 1.61
O  0.3856  0.9015  0.0452  1 Si 1.61
Si  0.6220  0.8011  0.9767  4 O 1.61-1.66
Si  0.8012  0.6159  0.4835  4 O 1.61-1.67
Si  0.1989  0.3780  0.0233  4 O 1.61-1.66
Si  0.3841  0.1988  0.5165  4 O 1.61-1.67
Al  0.9011  0.0989  0.5000  6 O 1.88-2.05
Na  0.7022  0.2978  0.0000  6 O 2.39-2.43
Na  0.2997  0.7003  0.5000  6 O 2.41-2.45
Fe  0.0980  0.9020  0.0000  6 O 1.95-2.12